Model w:
DFT (PBE) results for an optimized crystal structure of AlBiIN2.

```
AlBiIN2
1.0
4.1662 0.0000 0.0000
0.0000 4.1662 0.0000
0.0000 0.0000 5.3525
Al Bi I N
1 1 1 2
Direct
0.0000 0.0000 0.0000 Al
0.5000 0.5000 0.5000 Bi
0.0000 0.0000 0.5000 I
0.0000 0.5000 0.0000 N
0.5000 0.0000 0.0000 N
```

Summary:
Total moment in μB/atom: 0.178


Model x:
DFT (PBE) results for an optimized crystal structure of AlBiIN2.

```
AlBiIN2
1.0
4.4309 0.0000 0.0000
0.0000 4.4309 0.0000
0.0000 0.0000 7.0023
Al Bi I N
1 1 1 2
Direct
0.0000 0.0000 0.0000 Al
0.5000 0.5000 0.5000 Bi
0.5000 0.5000 0.0000 I
0.0000 0.5000 0.5000 N
0.5000 0.0000 0.5000 N
```

Summary:
Total moment in μB/atom: 0.345


Taking the most stable structure as the zero point, the relative energies in eV/atom are model w 0.000; model x 0.379.


Model w:
DFT (PBE) results for an optimized crystal structure of AlBiIO2.

```
AlBiIO2
1.0
4.1520 0.0000 0.0000
0.0000 4.1520 0.0000
0.0000 0.0000 5.2455
Al Bi I O
1 1 1 2
Direct
0.0000 0.0000 0.0000 Al
0.5000 0.5000 0.5000 Bi
0.0000 0.0000 0.5000 I
0.0000 0.5000 0.0000 O
0.5000 0.0000 0.0000 O
```

Summary:
Total moment in μB/atom: 0.000


Model x:
DFT (PBE) results for an optimized crystal structure of AlBiIO2.

```
AlBiIO2
1.0
4.3602 0.0000 0.0000
0.0000 4.3602 0.0000
0.0000 0.0000 6.6307
Al Bi I O
1 1 1 2
Direct
0.0000 0.0000 0.0000 Al
0.5000 0.5000 0.5000 Bi
0.5000 0.5000 0.0000 I
0.0000 0.5000 0.5000 O
0.5000 0.0000 0.5000 O
```

Summary:
Total moment in μB/atom: 0.000


Taking the most stable structure as the zero point, the relative energies in eV/atom are model w 0.000; model x 0.275.


Model w:
DFT (PBE) results for an optimized crystal structure of AlBiSb2I.

```
AlBiSb2I
1.0
5.8569 0.0000 0.0000
0.0000 5.8569 0.0000
0.0000 0.0000 6.3211
Al Bi Sb I
1 1 2 1
Direct
0.0000 0.0000 0.0000 Al
0.5000 0.5000 0.5000 Bi
0.0000 0.5000 0.5000 Sb
0.5000 0.0000 0.5000 Sb
0.5000 0.5000 0.0000 I
```

Summary:
Total moment in μB/atom: 0.185


Model x:
DFT (PBE) results for an optimized crystal structure of AlBiSb2I.

```
AlBiSb2I
1.0
5.4342 0.0000 0.0000
0.0000 5.4342 0.0000
0.0000 0.0000 5.2901
Al Bi Sb I
1 1 2 1
Direct
0.0000 0.0000 0.0000 Al
0.5000 0.5000 0.5000 Bi
0.0000 0.5000 0.0000 Sb
0.5000 0.0000 0.0000 Sb
0.0000 0.0000 0.5000 I
```

Summary:
Total moment in μB/atom: 0.000


Taking the most stable structure as the zero point, the relative energies in eV/atom are model w 0.387; model x 0.000.


Model w:
DFT (PBE) results for an optimized crystal structure of AlIn2Bi.

```
AlIn2Bi
1.0
3.4508 0.0000 0.0000
0.0000 3.4508 0.0000
0.0000 0.0000 8.7872
Al In Bi
1 2 1
Direct
0.0000 0.0000 0.0000 Al
0.5000 0.5000 0.2165 In
0.5000 0.5000 0.7835 In
0.0000 0.0000 0.5000 Bi
```

Summary:
Total moment in μB/atom: 0.000


Model x:
DFT (PBE) results for an optimized crystal structure of AlIn2Bi.

```
AlIn2Bi
1.0
0.0000 3.7728 3.7728
3.7728 0.0000 3.7728
3.7728 3.7728 0.0000
Al In Bi
1 2 1
Direct
0.0000 0.0000 0.0000 Al
0.2500 0.2500 0.2500 In
0.7500 0.7500 0.7500 In
0.5000 0.5000 0.5000 Bi
```

Summary:
Total moment in μB/atom: 0.000


Model y:
DFT (PBE) results for an optimized crystal structure of AlIn2Bi.

```
AlIn2Bi
1.0
1.6630 0.9601 11.5783
-1.6630 0.9601 11.5783
0.0000 -1.9202 11.5783
Al In Bi
1 2 1
Direct
0.0000 0.0000 0.0000 Al
0.0817 0.0817 0.0817 In
0.9183 0.9183 0.9183 In
0.5000 0.5000 0.5000 Bi
```

Summary:
Total moment in μB/atom: 0.000


Taking the most stable structure as the zero point, the relative energies in eV/atom are model w 0.000; model x 0.041; model y 0.073.


Model w:
DFT (PBE) results for an optimized crystal structure of AlIn2Bi.

```
AlIn2Bi
1.0
-3.4323 3.4323 6.0401
3.4323 -3.4323 6.0401
3.4323 3.4323 -6.0401
Al In Bi
2 4 2
Direct
0.0000 0.0000 0.0000 Al
0.7500 0.2500 0.5000 Al
0.0988 0.6250 0.9738 In
0.3750 0.3488 0.4738 In
0.6512 0.1250 0.0262 In
0.8750 0.9012 0.5262 In
0.2500 0.7500 0.5000 Bi
0.5000 0.5000 0.0000 Bi
```

Summary:
Total moment in μB/atom: 0.000


Model x:
DFT (PBE) results for an optimized crystal structure of AlIn2Bi.

```
AlIn2Bi
1.0
4.0119 -2.3214 0.0000
4.0119 2.3214 0.0000
-2.6855 0.0000 6.0900
Al In Bi
1 2 1
Direct
0.0000 0.0000 0.0000 Al
0.4035 0.4035 0.2076 In
0.6040 0.6040 0.8082 In
0.1693 0.1693 0.5039 Bi
```

Summary:
Total moment in μB/atom: 0.000


Taking the most stable structure as the zero point, the relative energies in eV/atom are model w 0.161; model x 0.000.


Model w:
DFT (PBE) results for an optimized crystal structure of Al2InBi2.

```
Al2InBi2
1.0
8.9438 0.0000 0.0000
0.0000 8.9438 0.0000
0.0000 0.0000 3.4165
Al In Bi
4 2 4
Direct
0.1200 0.3800 0.0000 Al
0.3800 0.8800 0.0000 Al
0.6200 0.1200 0.0000 Al
0.8800 0.6200 0.0000 Al
0.0000 0.0000 0.5000 In
0.5000 0.5000 0.5000 In
0.1733 0.6733 0.5000 Bi
0.3267 0.1733 0.5000 Bi
0.6733 0.8267 0.5000 Bi
0.8267 0.3267 0.5000 Bi
```

Summary:
Total moment in μB/atom: 0.000


Model x:
DFT (PBE) results for an optimized crystal structure of Al2InBi2.

```
Al2InBi2
1.0
-2.1807 2.1807 7.6454
2.1807 -2.1807 7.6454
2.1807 2.1807 -7.6454
Al In Bi
2 1 2
Direct
0.2500 0.7500 0.5000 Al
0.7500 0.2500 0.5000 Al
0.0000 0.0000 0.0000 In
0.3771 0.3771 0.0000 Bi
0.6229 0.6229 0.0000 Bi
```

Summary:
Total moment in μB/atom: 0.000


Model y:
DFT (PBE) results for an optimized crystal structure of Al2InBi2.

```
Al2InBi2
1.0
-2.6777 2.6777 5.0466
2.6777 -2.6777 5.0466
2.6777 2.6777 -5.0466
Al In Bi
2 1 2
Direct
0.1276 0.1276 0.0000 Al
0.8724 0.8724 0.0000 Al
0.5000 0.5000 0.0000 In
0.2500 0.7500 0.5000 Bi
0.7500 0.2500 0.5000 Bi
```

Summary:
Total moment in μB/atom: 0.000


Taking the most stable structure as the zero point, the relative energies in eV/atom are model w 0.089; model x 0.000; model y 0.050.